BeC2F after structural relaxation. Source: Alexandria, functional PBE.

Unit cell a=3.613 b=3.613 c=3.613 alpha=60.00 beta=60.00 gamma=60.00
Fractional coordinates of all 4 atoms:
Be  0.000  0.000  0.000
C  0.250  0.250  0.250
C  0.750  0.750  0.750
F  0.500  0.500  0.500

Results
M_tot	0.0	μB/f.u.
raw formation energy	2.31	eV/atom
symmetry	Fm-3m
ΔE to the lowest computed polymorph	0.6377	eV/atom